1.
# WO3, relaxed, DFT GGA+U
# calculated total energy: -90.1 eV per cell
# magnetic moment: 0.0 μB per formula unit
data_WO3
_chemical_formula_sum 'W3 O9'
_space_group_name_H-M_alt 'P 6/m m m'
_space_group_IT_number 191
_space_group_name_Hall '-P 6 2'
_cell_length_a 7.5055
_cell_length_b 7.5055
_cell_length_c 3.8619
_cell_angle_alpha 90.00
_cell_angle_beta 90.00
_cell_angle_gamma 120.00
loop_
_atom_site_label
_atom_site_type_symbol
_atom_site_fract_x
_atom_site_fract_y
_atom_site_fract_z
_atom_site_occupancy
W1 W 0.0000 0.5000 0.0000 1
O1 O 0.0000 0.5000 0.5000 1
O2 O 0.2137 0.4273 0.0000 1

=====

2.
# WO4, relaxed, DFT GGA+U
# energy relative to the lowest polymorph listed for this composition: 0.00 eV per formula unit
# calculated total energy: -31.5 eV per cell
# DOS at the Fermi energy: 0.666 states/eV per atom
# magnetic moment: 2.0 μB per formula unit
data_WO4
_chemical_formula_sum 'W1 O4'
_space_group_name_H-M_alt 'P m -3 m'
_space_group_IT_number 221
_space_group_name_Hall '-P 4 2 3'
_cell_length_a 3.882
_cell_length_b 3.882
_cell_length_c 3.882
_cell_angle_alpha 90.00
_cell_angle_beta 90.00
_cell_angle_gamma 90.00
loop_
_atom_site_label
_atom_site_type_symbol
_atom_site_fract_x
_atom_site_fract_y
_atom_site_fract_z
_atom_site_occupancy
W1 W 0.000 0.000 0.000 1
O1 O 0.000 0.000 0.500 1
O2 O 0.500 0.500 0.500 1

=====

3.
# W3O7, relaxed, DFT GGA+U
# calculated total energy: -150.8 eV per cell
# DOS at the Fermi energy: 0.030 states/eV per atom
# magnetic moment: 4.0 μB per formula unit
data_W3O7
_chemical_formula_sum 'W6 O14'
_space_group_name_H-M_alt 'P m m n'
_space_group_IT_number 59
_cell_length_a 6.378
_cell_length_b 11.599
_cell_length_c 3.852
_cell_angle_alpha 90.00
_cell_angle_beta 90.00
_cell_angle_gamma 90.00
loop_
_space_group_symop_operation_xyz
'x,y,z'
'-x,-y,-z'
'-x+1/2,-y+1/2,z'
'x+1/2,y+1/2,-z'
'x+1/2,-y,-z'
'-x+1/2,y,z'
'-x,y+1/2,-z'
'x,-y+1/2,z'
loop_
_atom_site_label
_atom_site_type_symbol
_atom_site_fract_x
_atom_site_fract_y
_atom_site_fract_z
_atom_site_occupancy
W1 W 0.250 0.024 0.001 1
W2 W 0.250 0.750 0.999 1
O1 O 0.043 0.613 0.000 1
O2 O 0.250 0.041 0.501 1
O3 O 0.250 0.750 0.499 1